[1]
# HfTi2Ga2

A relaxed structure of HfTi2Ga2 (PBE-GGA, Alexandria via LeMat-Bulk).

The structure in CIF format:
```
data_HfTi2Ga2
_symmetry_space_group_name_H-M 'P -6 m 2'
_symmetry_Int_Tables_number 187
_symmetry_space_group_name_Hall 'P -6 2'
_cell_length_a 4.4671
_cell_length_b 4.4671
_cell_length_c 5.5063
_cell_angle_alpha 90.00
_cell_angle_beta 90.00
_cell_angle_gamma 120.00
loop_
_atom_site_label
_atom_site_fract_x
_atom_site_fract_y
_atom_site_fract_z
_atom_site_occupancy
Hf1 0.0000 0.0000 0.0000 1
Ti1 0.0000 0.0000 0.5000 1
Ti2 0.3333 0.6667 0.0000 1
Ga1 0.6667 0.3333 0.2534 1
```

Computed properties:
ΔE to the lowest computed polymorph   525 meV per atom
VASP energy   -6.252 eV/atom
ΔH_f (0 K)   107 meV per atom
Calculated volume   19.0 Å³/atom

[2]
# CoAg2Br

A relaxed structure of CoAg2Br (PBE-GGA, Alexandria via LeMat-Bulk).

The structure in CIF format:
```
data_CoAg2Br
_symmetry_space_group_name_H-M 'P 1 m 1'
_symmetry_Int_Tables_number 6
_symmetry_space_group_name_Hall 'P -2y'
_cell_length_a 3.5568
_cell_length_b 3.3205
_cell_length_c 6.9570
_cell_angle_alpha 90.00
_cell_angle_beta 90.46
_cell_angle_gamma 90.00
loop_
_atom_site_label
_atom_site_fract_x
_atom_site_fract_y
_atom_site_fract_z
_atom_site_occupancy
Co1 0.0000 0.0000 0.0000 1
Ag1 0.4974 0.5000 0.8254 1
Ag2 0.9941 0.0000 0.6115 1
Br1 0.0078 0.5000 0.2534 1
```

Computed properties:
ΔE to the lowest computed polymorph   0 meV per atom
VASP energy   -3.345 eV/atom
Formation energy without anion corrections   1.100 eV per formula unit
Calculated volume   20.5 Å³/atom

[3]
# NpTiTlO6

A relaxed structure of NpTiTlO6 (PBE-GGA, Alexandria via LeMat-Bulk).

The structure in CIF format:
```
data_NpTiTlO6
_symmetry_space_group_name_H-M 'P 3 1 2'
_symmetry_Int_Tables_number 149
_symmetry_space_group_name_Hall 'P 3 2'
_cell_length_a 5.4398
_cell_length_b 5.4398
_cell_length_c 6.1289
_cell_angle_alpha 90.00
_cell_angle_beta 90.00
_cell_angle_gamma 120.00
loop_
_atom_site_label
_atom_site_fract_x
_atom_site_fract_y
_atom_site_fract_z
_atom_site_occupancy
Np1 0.0000 0.0000 0.0000 1
Ti1 0.6667 0.3333 0.0000 1
Tl1 0.3333 0.6667 0.5000 1
O1 0.3389 0.0574 0.1774 1
```

Computed properties:
VASP energy   -8.281 eV/atom
Formation energy without anion corrections   -21.582 eV per formula unit
Calculated volume   17.5 Å³/atom

[4]
# LaEr2TcO8

A relaxed structure of LaEr2TcO8 (PBE-GGA, Alexandria via LeMat-Bulk).

The structure in CIF format:
```
data_LaEr2TcO8
_symmetry_space_group_name_H-M 'P 1 2/m 1'
_symmetry_Int_Tables_number 10
_symmetry_space_group_name_Hall '-P 2y'
_cell_length_a 5.0429
_cell_length_b 6.8945
_cell_length_c 5.0467
_cell_angle_alpha 90.00
_cell_angle_beta 90.44
_cell_angle_gamma 90.00
loop_
_atom_site_label
_atom_site_fract_x
_atom_site_fract_y
_atom_site_fract_z
_atom_site_occupancy
La1 0.0000 0.0000 0.0000 1
Er1 0.5000 0.2495 0.5000 1
Tc1 0.0000 0.5000 0.0000 1
O1 0.1872 0.3010 0.1856 1
O2 0.2669 0.5000 0.7317 1
O3 0.3165 0.0000 0.6813 1
```

Computed properties:
VASP energy   -7.988 eV/atom
Formation energy without anion corrections   -31.776 eV per formula unit
Calculated volume   14.6 Å³/atom

[5]
# PH2

A relaxed structure of PH2 (PBE-GGA, Alexandria via LeMat-Bulk).

The structure in CIF format:
```
data_PH2
_symmetry_space_group_name_H-M 'P 1'
_symmetry_Int_Tables_number 1
_symmetry_space_group_name_Hall 'P 1'
_cell_length_a 2.3336
_cell_length_b 2.3342
_cell_length_c 6.6744
_cell_angle_alpha 98.72
_cell_angle_beta 98.76
_cell_angle_gamma 90.10
loop_
_atom_site_label
_atom_site_fract_x
_atom_site_fract_y
_atom_site_fract_z
_atom_site_occupancy
P1 0.0000 0.0000 0.0000 1
H1 0.3645 0.3889 0.4591 1
H2 0.5569 0.5810 0.5421 1
```

Computed properties:
ΔE to the lowest computed polymorph   150 meV per atom
VASP energy   -3.831 eV/atom
Calculated volume   11.8 Å³/atom

[6]
# CaMg5Sn2

A relaxed structure of CaMg5Sn2 (PBE-GGA, Alexandria via LeMat-Bulk).

The structure in CIF format:
```
data_CaMg5Sn2
_symmetry_space_group_name_H-M 'I m m m'
_symmetry_Int_Tables_number 71
_symmetry_space_group_name_Hall '-I 2 2'
_cell_length_a 4.4473
_cell_length_b 8.5803
_cell_length_c 10.8967
_cell_angle_alpha 90.00
_cell_angle_beta 90.00
_cell_angle_gamma 90.00
loop_
_atom_site_label
_atom_site_fract_x
_atom_site_fract_y
_atom_site_fract_z
_atom_site_occupancy
Ca1 0.0000 0.0000 0.0000 1
Mg1 0.0000 0.1818 0.3566 1
Mg2 0.0000 0.5000 0.0000 1
Sn1 0.0000 0.5000 0.2699 1
```

Computed properties:
VASP energy   -2.467 eV/atom
ΔH_f (0 K)   -220 meV per atom
Calculated volume   26.0 Å³/atom

[7]
# AcYMgSc

A relaxed structure of AcYMgSc (PBE-GGA, Alexandria via LeMat-Bulk).

The structure in CIF format:
```
data_AcYMgSc
_symmetry_space_group_name_H-M 'F -4 3 m'
_symmetry_Int_Tables_number 216
_symmetry_space_group_name_Hall 'F -4 2 3'
_cell_length_a 7.9201
_cell_length_b 7.9201
_cell_length_c 7.9201
_cell_angle_alpha 90.00
_cell_angle_beta 90.00
_cell_angle_gamma 90.00
loop_
_atom_site_label
_atom_site_fract_x
_atom_site_fract_y
_atom_site_fract_z
_atom_site_occupancy
Ac1 0.0000 0.0000 0.0000 1
Y1 0.0000 0.0000 0.5000 1
Mg1 0.2500 0.2500 0.2500 1
Sc1 0.2500 0.2500 0.7500 1
```

Computed properties:
VASP energy   -4.573 eV/atom
ΔH_f (0 K)   51 meV per atom
Calculated volume   31.1 Å³/atom

[8]
# Na2AgAs2Pd5

A relaxed structure of Na2AgAs2Pd5 (PBE-GGA, Alexandria via LeMat-Bulk).

The structure in CIF format:
```
data_Na2AgAs2Pd5
_symmetry_space_group_name_H-M 'P 4/m b m'
_symmetry_Int_Tables_number 127
_symmetry_space_group_name_Hall '-P 4 2ab'
_cell_length_a 10.3915
_cell_length_b 10.3915
_cell_length_c 3.3381
_cell_angle_alpha 90.00
_cell_angle_beta 90.00
_cell_angle_gamma 90.00
loop_
_atom_site_label
_atom_site_fract_x
_atom_site_fract_y
_atom_site_fract_z
_atom_site_occupancy
Na1 0.1729 0.3271 0.0000 1
Ag1 0.0000 0.0000 0.0000 1
As1 0.1302 0.6302 0.0000 1
Pd1 0.0000 0.5000 0.5000 1
Pd2 0.0635 0.7950 0.5000 1
```

Computed properties:
VASP energy   -4.382 eV/atom
ΔH_f (0 K)   -307 meV per atom
Calculated volume   18.0 Å³/atom